one:
The following is a DFT calculation (GGA-PBE) of an optimized crystal structure of CaY2Sc.

Lattice parameters (Å, degrees): 6.115 6.115 6.230 100.01 100.01 33.72
Fractional coordinates of all 4 atoms:
Ca 0.000 0.000 0.000
Y 0.240 0.240 0.732
Y 0.760 0.760 0.268
Sc 0.500 0.500 0.500

Calculated values
crystal system = monoclinic
space group = C2/m (12)


two:
The following is a DFT calculation (GGA-PBE) of an optimized crystal structure of CaY2Sc.

Lattice parameters (Å, degrees): 3.450 3.450 11.586 90.00 90.00 110.56
Fractional coordinates of all 4 atoms:
Ca 0.000 0.000 0.000
Y 0.000 0.000 0.523
Y 0.500 0.500 0.275
Sc 0.500 0.500 0.748

Calculated values
crystal system = orthorhombic
space group = Cmm2 (35)


three:
The following is a DFT calculation (GGA-PBE) of an optimized crystal structure of CaY2Sc.

Lattice parameters (Å, degrees): 5.653 5.653 5.653 60.00 60.00 60.00
Fractional coordinates of all 4 atoms:
Ca 0.000 0.000 0.000
Y 0.500 0.500 0.500
Y 0.750 0.750 0.750
Sc 0.250 0.250 0.250

Calculated values
crystal system = cubic
space group = F-43m (216)


The data favor one; the next most stable structure lies 3.7 kJ/mol of atoms above it.


one:
The following is a DFT calculation (GGA-PBE) of an optimized crystal structure of CaY2Sc.

Lattice parameters (Å, degrees): 11.931 11.931 11.931 17.13 17.13 17.13
Fractional coordinates of all 4 atoms:
Ca 0.000 0.000 0.000
Y 0.575 0.575 0.575
Y 0.757 0.757 0.757
Sc 0.166 0.166 0.166

Calculated values
crystal system = trigonal
space group = R3m (160)


two:
The following is a DFT calculation (GGA-PBE) of an optimized crystal structure of CaY2Sc.

Lattice parameters (Å, degrees): 6.090 6.090 6.090 130.74 130.74 72.23
Fractional coordinates of all 4 atoms:
Ca 0.000 0.000 0.000
Y 0.250 0.750 0.500
Y 0.750 0.250 0.500
Sc 0.500 0.500 0.000

Calculated values
crystal system = tetragonal
space group = I4/mmm (139)


three:
The following is a DFT calculation (GGA-PBE) of an optimized crystal structure of CaY2Sc.

Lattice parameters (Å, degrees): 3.568 3.568 10.148 90.00 90.00 90.00
Fractional coordinates of all 4 atoms:
Ca 0.000 0.000 0.000
Y 0.000 0.000 0.476
Y 0.500 0.500 0.719
Sc 0.500 0.500 0.258

Calculated values
crystal system = tetragonal
space group = P4mm (99)


four:
The following is a DFT calculation (GGA-PBE) of an optimized crystal structure of CaY2Sc.

Lattice parameters (Å, degrees): 11.970 11.970 11.970 17.04 17.04 17.04
Fractional coordinates of all 4 atoms:
Ca 0.000 0.000 0.000
Y 0.242 0.242 0.242
Y 0.758 0.758 0.758
Sc 0.500 0.500 0.500

Calculated values
crystal system = trigonal
space group = R-3m (166)


The data favor one; the next most stable structure lies 0.6 kJ/mol of atoms above it.


one:
The following is a DFT calculation (GGA-PBE) of an optimized crystal structure of CaY2Sc.

Lattice parameters (Å, degrees): 6.158 6.158 6.158 131.87 131.87 70.44
Fractional coordinates of all 4 atoms:
Ca 0.000 0.000 0.000
Y 0.500 0.500 0.000
Y 0.750 0.250 0.500
Sc 0.250 0.750 0.500

Calculated values
crystal system = tetragonal
space group = I-4m2 (119)


two:
The following is a DFT calculation (GGA-PBE) of an optimized crystal structure of CaY2Sc.

Lattice parameters (Å, degrees): 6.697 6.697 6.697 146.31 129.52 62.07
Fractional coordinates of all 4 atoms:
Ca 0.000 0.000 0.000
Y 0.469 0.469 0.000
Y 0.737 0.237 0.500
Sc 0.236 0.736 0.500

Calculated values
crystal system = orthorhombic
space group = Imm2 (44)


three:
The following is a DFT calculation (GGA-PBE) of an optimized crystal structure of CaY2Sc.

Lattice parameters (Å, degrees): 3.536 5.006 7.225 90.00 90.06 90.00
Fractional coordinates of all 4 atoms:
Ca 0.000 0.000 0.000
Y 0.499 0.500 0.726
Y 0.999 0.000 0.486
Sc 0.500 0.500 0.262

Calculated values
crystal system = monoclinic
space group = Pm (6)


four:
The following is a DFT calculation (GGA-PBE) of an optimized crystal structure of CaY2Sc.

Lattice parameters (Å, degrees): 12.407 12.407 12.407 158.09 158.09 31.18
Fractional coordinates of all 8 atoms:
Ca 0.000 0.000 0.000
Ca 0.750 0.250 0.500
Y 0.135 0.625 0.010
Y 0.375 0.385 0.510
Y 0.615 0.125 0.990
Y 0.875 0.865 0.490
Sc 0.250 0.750 0.500
Sc 0.500 0.500 0.000

Calculated values
crystal system = tetragonal
space group = I-42d (122)


The data favor three; the next most stable structure lies 2.2 kJ/mol of atoms above it.


one:
The following is a DFT calculation (GGA-PBE) of an optimized crystal structure of CaYSc3.

Lattice parameters (Å, degrees): 5.269 5.269 5.269 90.00 90.00 90.00
Fractional coordinates of all 5 atoms:
Ca 0.000 0.000 0.000
Y 0.500 0.500 0.500
Sc 0.000 0.000 0.500
Sc 0.000 0.500 0.000
Sc 0.500 0.000 0.000

Calculated values
crystal system = cubic
space group = Pm-3m (221)


two:
The following is a DFT calculation (GGA-PBE) of an optimized crystal structure of CaYSc3.

Lattice parameters (Å, degrees): 5.431 5.431 5.431 90.00 90.00 90.00
Fractional coordinates of all 5 atoms:
Ca 0.000 0.000 0.000
Y 0.500 0.500 0.500
Sc 0.000 0.500 0.500
Sc 0.500 0.000 0.500
Sc 0.500 0.500 0.000

Calculated values
crystal system = cubic
space group = Pm-3m (221)


The data favor two; the next most stable structure lies 14.9 kJ/mol of atoms above it.


one:
The following is a DFT calculation (GGA-PBE) of an optimized crystal structure of CaYSc2.

Lattice parameters (Å, degrees): 3.489 3.489 9.902 90.00 90.00 90.00
Fractional coordinates of all 4 atoms:
Ca 0.000 0.000 0.000
Y 0.000 0.000 0.500
Sc 0.500 0.500 0.270
Sc 0.500 0.500 0.730

Calculated values
crystal system = tetragonal
space group = P4/mmm (123)


two:
The following is a DFT calculation (GGA-PBE) of an optimized crystal structure of CaYSc2.

Lattice parameters (Å, degrees): 4.932 4.932 4.900 90.00 90.00 90.00
Fractional coordinates of all 4 atoms:
Ca 0.000 0.000 0.000
Y 0.500 0.500 0.000
Sc 0.000 0.500 0.500
Sc 0.500 0.000 0.500

Calculated values
crystal system = tetragonal
space group = P4/mmm (123)


The data favor one; the next most stable structure lies 6.2 kJ/mol of atoms above it.


one:
The following is a DFT calculation (GGA-PBE) of an optimized crystal structure of CaYSc2.

Lattice parameters (Å, degrees): 11.658 11.658 11.658 17.12 17.12 17.12
Fractional coordinates of all 4 atoms:
Ca 0.000 0.000 0.000
Y 0.500 0.500 0.500
Sc 0.246 0.246 0.246
Sc 0.754 0.754 0.754

Calculated values
crystal system = trigonal
space group = R-3m (166)


two:
The following is a DFT calculation (GGA-PBE) of an optimized crystal structure of CaYSc2.

Lattice parameters (Å, degrees): 5.508 5.508 5.508 60.00 60.00 60.00
Fractional coordinates of all 4 atoms:
Ca 0.000 0.000 0.000
Y 0.250 0.250 0.250
Sc 0.500 0.500 0.500
Sc 0.750 0.750 0.750

Calculated values
crystal system = cubic
space group = F-43m (216)


three:
The following is a DFT calculation (GGA-PBE) of an optimized crystal structure of CaYSc2.

Lattice parameters (Å, degrees): 5.514 5.514 5.514 60.00 60.00 60.00
Fractional coordinates of all 4 atoms:
Ca 0.000 0.000 0.000
Y 0.500 0.500 0.500
Sc 0.250 0.250 0.250
Sc 0.750 0.750 0.750

Calculated values
crystal system = cubic
space group = Fm-3m (225)


four:
The following is a DFT calculation (GGA-PBE) of an optimized crystal structure of CaYSc2.

Lattice parameters (Å, degrees): 5.375 6.764 6.764 29.48 90.00 90.00
Fractional coordinates of all 4 atoms:
Ca 0.000 0.000 0.000
Y 0.500 0.337 0.337
Sc 0.000 0.737 0.737
Sc 0.500 0.618 0.618

Calculated values
crystal system = orthorhombic
space group = Amm2 (38)


The data favor four; the next most stable structure lies 0.7 kJ/mol of atoms above it.


one:
The following is a DFT calculation (GGA-PBE) of an optimized crystal structure of CaYSc2.

Lattice parameters (Å, degrees): 12.105 12.105 12.105 158.18 158.18 31.06
Fractional coordinates of all 8 atoms:
Ca 0.000 0.000 0.000
Ca 0.750 0.250 0.500
Y 0.250 0.750 0.500
Y 0.500 0.500 0.000
Sc 0.134 0.625 0.009
Sc 0.375 0.384 0.509
Sc 0.616 0.125 0.991
Sc 0.875 0.866 0.491

Calculated values
crystal system = tetragonal
space group = I-42d (122)


two:
The following is a DFT calculation (GGA-PBE) of an optimized crystal structure of CaYSc2.

Lattice parameters (Å, degrees): 3.456 4.884 7.101 90.00 90.00 90.00
Fractional coordinates of all 4 atoms:
Ca 0.000 0.000 0.000
Y 0.000 0.000 0.500
Sc 0.500 0.500 0.271
Sc 0.500 0.500 0.729

Calculated values
crystal system = orthorhombic
space group = Pmmm (47)


three:
The following is a DFT calculation (GGA-PBE) of an optimized crystal structure of CaYSc2.

Lattice parameters (Å, degrees): 3.758 3.758 8.695 90.00 90.00 90.00
Fractional coordinates of all 4 atoms:
Ca 0.000 0.000 0.000
Y 0.500 0.500 0.685
Sc 0.000 0.000 0.462
Sc 0.500 0.500 0.278

Calculated values
crystal system = tetragonal
space group = P4mm (99)


The data favor three; the next most stable structure lies 6.9 kJ/mol of atoms above it.


one:
The following is a DFT calculation (GGA-PBE) of an optimized crystal structure of CaScZn.

Lattice parameters (Å, degrees): 6.649 6.649 6.649 149.51 149.51 43.67
Fractional coordinates of all 3 atoms:
Ca 0.000 0.000 0.000
Sc 0.722 0.722 0.000
Zn 0.336 0.336 0.000

Calculated values
crystal system = tetragonal
space group = I4mm (107)


two:
The following is a DFT calculation (GGA-PBE) of an optimized crystal structure of CaScZn.

Lattice parameters (Å, degrees): 4.894 4.894 4.894 60.00 60.00 60.00
Fractional coordinates of all 3 atoms:
Ca 0.000 0.000 0.000
Sc 0.500 0.500 0.500
Zn 0.250 0.250 0.250

Calculated values
crystal system = cubic
space group = F-43m (216)


The data favor one; the next most stable structure lies 24.6 kJ/mol of atoms above it.